No. 1
# KAgHg2Pb | Alexandria | PBE | relaxed
data_KAgHg2Pb
_chemical_formula_sum 'K1 Ag1 Hg2 Pb1'
_cell_length_a 6.050
_cell_length_b 6.050
_cell_length_c 5.411
_cell_angle_alpha 90.00
_cell_angle_beta 90.00
_cell_angle_gamma 90.00
_space_group_name_H-M_alt 'P 4/m m m'
_space_group_IT_number 123
_space_group_name_Hall '-P 4 2'
loop_
_atom_site_label
_atom_site_type_symbol
_atom_site_fract_x
_atom_site_fract_y
_atom_site_fract_z
K1 K 0.000 0.000 0.000
Ag1 Ag 0.500 0.500 0.000
Hg1 Hg 0.000 0.500 0.500
Pb1 Pb 0.500 0.500 0.500
# **N(E_F)**: 0.724 states/eV per atom
# **Total magnetic moment**: 0.00 μB/f.u.
# **Mass density**: 6.3 g cm⁻³
# **VASP energy**: -1.568 eV per atom
# **Polymorph energy (0 for the lowest one)**: 38.4 meV/atom


No. 2
# KAg2HgPd | Alexandria | PBE | relaxed
data_KAg2HgPd
_chemical_formula_sum 'K1 Ag2 Hg1 Pd1'
_cell_length_a 5.263
_cell_length_b 5.263
_cell_length_c 5.256
_cell_angle_alpha 90.00
_cell_angle_beta 90.00
_cell_angle_gamma 90.00
_space_group_name_H-M_alt 'P 4/m m m'
_space_group_IT_number 123
_space_group_name_Hall '-P 4 2'
loop_
_atom_site_label
_atom_site_type_symbol
_atom_site_fract_x
_atom_site_fract_y
_atom_site_fract_z
K1 K 0.000 0.000 0.000
Ag1 Ag 0.000 0.500 0.500
Hg1 Hg 0.500 0.500 0.000
Pd1 Pd 0.500 0.500 0.500
# **N(E_F)**: 0.221 states/eV per atom
# **Total magnetic moment**: 0.00 μB/f.u.
# **Mass density**: 6.4 g cm⁻³
# **VASP energy**: -2.389 eV per atom